one:
A PBEsol-optimized structure of Li2InAg2. Source: Alexandria via LeMat-Bulk, functional SCAN.

```
5
Lattice="3.844 0.000 0.000 0.000 3.844 0.000 -1.922 -1.922 6.362" Properties=species:S:1:pos:R:3 pbc="T T T"
Li 0.000 1.922 3.181
Li 1.922 0.000 3.181
Ag 0.000 0.000 5.026
Ag 1.922 1.922 1.335
In 0.000 0.000 0.000
```

Properties
ρ = 6.1 g/cm3
Density of states at the Fermi level = 1.66 states/eV/f.u.

***

two:
A PBEsol-optimized structure of Li2InAg2. Source: Alexandria via LeMat-Bulk, functional SCAN.

```
10
Lattice="-2.939 -0.223 1.027 1.977 -5.547 4.452 1.507 4.842 5.365" Properties=species:S:1:pos:R:3 pbc="T T T"
Li -0.147 2.194 4.799
Li 1.103 0.260 7.955
Li 0.692 -3.123 6.044
Li -0.558 -1.188 2.888
Ag 2.031 2.162 6.281
Ag 2.667 -1.741 7.256
Ag 1.453 -2.868 3.535
Ag 0.816 1.035 2.561
In 0.000 0.000 0.000
In 1.742 -0.353 4.908
```

Properties
ρ = 6.7 g/cm3
Density of states at the Fermi level = 1.66 states/eV/f.u.

***

Name the most stable of them. two.

***

one:
A PBEsol-optimized structure of Ag2Ir. Source: Alexandria via LeMat-Bulk, functional SCAN.

```
6
Lattice="2.637 0.000 0.000 0.000 4.730 0.000 -1.318 0.000 7.551" Properties=species:S:1:pos:R:3 pbc="T T T"
Ag 1.318 3.547 3.329
Ag 1.318 1.182 6.749
Ag 0.000 3.547 0.801
Ag 0.000 1.182 4.222
Ir 0.000 3.547 5.822
Ir 1.318 1.182 1.729
```

Properties
ρ = 14.4 g/cm3
Density of states at the Fermi level = 2.22 states/eV/f.u.

***

two:
A PBEsol-optimized structure of Ag2Ir. Source: Alexandria via LeMat-Bulk, functional SCAN.

```
6
Lattice="-0.662 1.951 1.736 1.571 -4.224 3.256 5.733 3.145 -1.351" Properties=species:S:1:pos:R:3 pbc="T T T"
Ag 5.266 1.721 2.163
Ag 1.376 -0.848 1.478
Ag 3.348 0.084 3.273
Ag 3.294 0.790 0.368
Ir 2.162 -2.522 3.659
Ir 4.480 3.395 -0.018
```

Properties
ρ = 14.4 g/cm3
Density of states at the Fermi level = 2.37 states/eV/f.u.

***

three:
A PBEsol-optimized structure of Ag2Ir. Source: Alexandria via LeMat-Bulk, functional SCAN.

```
6
Lattice="-0.941 -5.060 0.145 3.547 -3.225 1.878 -0.786 -2.344 4.517" Properties=species:S:1:pos:R:3 pbc="T T T"
Ag -0.165 -2.501 3.076
Ag 2.001 -2.941 1.757
Ag 0.228 -1.329 0.817
Ag -0.243 -3.859 0.890
Ir 1.365 -7.973 4.905
Ir 0.910 -5.315 3.270
```

Properties
ρ = 14.0 g/cm3
Density of states at the Fermi level = 2.29 states/eV/f.u.

***

Name the most stable of them. two.

***

one:
A PBEsol-optimized structure of KAgIr2. Source: Alexandria via LeMat-Bulk, functional SCAN.

```
4
Lattice="3.802 0.000 0.000 0.000 3.802 0.000 -1.901 -1.901 4.901" Properties=species:S:1:pos:R:3 pbc="T T T"
Ag 0.000 0.000 0.000
Ir 1.901 0.000 2.450
Ir 0.000 1.901 2.450
K 1.901 1.901 0.000
```

Properties
ρ = 12.5 g/cm3
Density of states at the Fermi level = 3.73 states/eV/f.u.

***

two:
A PBEsol-optimized structure of KAgIr2. Source: Alexandria via LeMat-Bulk, functional SCAN.

```
4
Lattice="2.710 0.004 0.000 -1.291 2.383 0.000 0.000 0.000 10.393" Properties=species:S:1:pos:R:3 pbc="T T T"
Ag 0.710 1.193 0.000
Ir 0.000 0.000 2.412
Ir 0.000 0.000 7.982
K 0.710 1.193 5.197
```

Properties
ρ = 13.1 g/cm3
Density of states at the Fermi level = 3.02 states/eV/f.u.

***

three:
A PBEsol-optimized structure of KAgIr2. Source: Alexandria via LeMat-Bulk, functional SCAN.

```
4
Lattice="2.755 0.000 0.000 0.000 3.841 0.000 0.000 0.000 7.723" Properties=species:S:1:pos:R:3 pbc="T T T"
Ag 1.378 1.921 6.254
Ir 0.000 0.000 0.330
Ir 1.378 1.921 1.254
K 0.000 0.000 3.747
```

Properties
ρ = 10.8 g/cm3
Density of states at the Fermi level = 3.15 states/eV/f.u.

***

Name the most stable of them. three.

***

one:
A PBEsol-optimized structure of LiAgIr. Source: Alexandria via LeMat-Bulk, functional SCAN.

```
3
Lattice="-0.393 0.675 2.426 -4.260 -1.148 -0.371 2.991 -2.987 1.316" Properties=species:S:1:pos:R:3 pbc="T T T"
Ir -2.101 -1.317 1.785
Ag -0.058 0.099 0.355
Li 0.497 -2.241 1.230
```

Properties
ρ = 11.8 g/cm3
Density of states at the Fermi level = 0.91 states/eV/f.u.

***

two:
A PBEsol-optimized structure of LiAgIr. Source: Alexandria via LeMat-Bulk, functional SCAN.

```
3
Lattice="3.963 0.000 0.000 1.981 3.432 0.000 1.981 1.144 3.235" Properties=species:S:1:pos:R:3 pbc="T T T"
Ir 3.963 2.288 1.618
Ag 0.000 0.000 0.000
Li 5.944 3.432 2.427
```

Properties
ρ = 11.6 g/cm3
Density of states at the Fermi level = 2.18 states/eV/f.u.

***

Name the most stable of them. one.

***

one:
A PBEsol-optimized structure of Ag2MoIr. Source: Alexandria via LeMat-Bulk, functional SCAN.

```
4
Lattice="-2.457 1.237 0.694 -2.336 -3.459 -2.104 -0.071 -2.394 4.014" Properties=species:S:1:pos:R:3 pbc="T T T"
Ag -0.035 -1.197 2.007
Ag -1.168 -1.729 -1.052
Ir -2.431 -2.308 1.302
Mo -1.228 0.618 0.347
```

Properties
ρ = 13.5 g/cm3
Density of states at the Fermi level = 4.14 states/eV/f.u.

***

two:
A PBEsol-optimized structure of Ag2MoIr. Source: Alexandria via LeMat-Bulk, functional SCAN.

```
4
Lattice="-0.006 -1.210 2.388 2.363 0.933 -0.842 -1.823 8.495 4.298" Properties=species:S:1:pos:R:3 pbc="T T T"
Ag -0.460 2.144 1.085
Ag -1.363 6.351 3.213
Ir 0.267 4.109 2.922
Mo 1.178 -0.138 0.773
```

Properties
ρ = 13.4 g/cm3
Density of states at the Fermi level = 3.23 states/eV/f.u.

***

Name the most stable of them. two.

***

one:
A PBEsol-optimized structure of AgMo2Ir. Source: Alexandria via LeMat-Bulk, functional SCAN.

```
4
Lattice="2.710 0.000 0.000 0.000 2.710 0.000 0.000 0.000 8.256" Properties=species:S:1:pos:R:3 pbc="T T T"
Ag 1.355 1.355 0.000
Ir 1.355 1.355 4.128
Mo 0.000 0.000 6.069
Mo 0.000 0.000 2.187
```

Properties
ρ = 13.5 g/cm3
Density of states at the Fermi level = 3.32 states/eV/f.u.

***

two:
A PBEsol-optimized structure of AgMo2Ir. Source: Alexandria via LeMat-Bulk, functional SCAN.

```
4
Lattice="-0.235 2.019 -1.813 -4.736 -1.030 -0.534 0.812 3.264 3.530" Properties=species:S:1:pos:R:3 pbc="T T T"
Ag -0.118 1.010 -0.906
Ir -2.079 2.126 0.592
Mo -2.368 -0.515 -0.267
Mo 0.406 1.632 1.765
```

Properties
ρ = 13.7 g/cm3
Density of states at the Fermi level = 2.35 states/eV/f.u.

***

Name the most stable of them. one.